1.
Here is a relaxed structure of Sc5ZnPt4 from the Alexandria database. Energies are from GGA-PBE.

Unit cell a=3.2889 b=3.2889 c=16.7029 alpha=90.00 beta=90.00 gamma=90.00
Last column: nearest neighbours and their distance in Å.
Element x y z (fractional)
Sc 0.0000 0.0000 0.0000  8 Pt 2.87
Sc 0.0000 0.0000 0.2001  8 Pt 2.85-2.88
Sc 0.0000 0.0000 0.3987  4 Pt 2.84, 4 Zn 2.88
Sc 0.0000 0.0000 0.6013  4 Pt 2.84, 4 Zn 2.88
Sc 0.0000 0.0000 0.7999  8 Pt 2.85-2.88
Zn 0.5000 0.5000 0.5000  8 Sc 2.88
Pt 0.5000 0.5000 0.1012  8 Sc 2.85-2.87
Pt 0.5000 0.5000 0.3016  8 Sc 2.84-2.88
Pt 0.5000 0.5000 0.6984  8 Sc 2.84-2.88
Pt 0.5000 0.5000 0.8988  8 Sc 2.85-2.87

## Properties
Energy of formation from the pure elements: -103 kJ per mole of atoms
Volume: 180.7 Å³/f.u.
Magnetic moment: 0.00 μB/f.u.


2.
Here is a relaxed structure of Sc3Zn2Pt from the Alexandria database. Energies are from GGA-PBE.

Unit cell a=4.7009 b=4.7009 c=5.7606 alpha=90.00 beta=90.00 gamma=120.00
Last column: nearest neighbours and their distance in Å.
Element x y z (fractional)
Sc 0.0000 0.0000 0.0000  6 Zn 2.85, 2 Pt 2.88
Sc 0.3333 0.6667 0.6595  5 Zn 2.84-2.92, 3 Pt 2.87
Sc 0.6667 0.3333 0.3405  5 Zn 2.84-2.92, 3 Pt 2.87
Zn 0.3333 0.6667 0.1526  8 Sc 2.84-2.92
Zn 0.6667 0.3333 0.8474  8 Sc 2.84-2.92
Pt 0.0000 0.0000 0.5000  8 Sc 2.87-2.88

## Properties
Energy of formation from the pure elements: -67 kJ per mole of atoms
Volume: 110.2 Å³/f.u.
Magnetic moment: 0.00 μB/f.u.


3.
Here is a relaxed structure of Sc3ZnPt4 from the Alexandria database. Energies are from GGA-PBE.

Unit cell a=3.2716 b=3.2716 c=12.8076 alpha=90.00 beta=90.00 gamma=90.00
Last column: nearest neighbours and their distance in Å.
Element x y z (fractional)
Sc 0.0000 0.0000 0.0000  8 Pt 2.86
Sc 0.0000 0.0000 0.2646  8 Pt 2.79-2.87, 1 Zn 3.01
Sc 0.0000 0.0000 0.7354  8 Pt 2.79-2.87, 1 Zn 3.01
Zn 0.0000 0.0000 0.5000  8 Pt 2.73, 2 Sc 3.01
Pt 0.5000 0.5000 0.1316  8 Sc 2.86-2.87
Pt 0.5000 0.5000 0.3868  4 Zn 2.73, 4 Sc 2.79, 1 Pt 2.90
Pt 0.5000 0.5000 0.6132  4 Zn 2.73, 4 Sc 2.79, 1 Pt 2.90
Pt 0.5000 0.5000 0.8684  8 Sc 2.86-2.87

## Properties
Energy of formation from the pure elements: -106 kJ per mole of atoms
Volume: 137.1 Å³/f.u.
Magnetic moment: 0.00 μB/f.u.


4.
Here is a relaxed structure of ScZn2Pt from the Alexandria database. Energies are from GGA-PBE.

Unit cell a=8.9934 b=8.9934 c=8.9934 alpha=19.20 beta=19.20 gamma=19.20
Last column: nearest neighbours and their distance in Å.
Element x y z (fractional)
Sc 0.0000 0.0000 0.0000  6 Zn 2.95, 6 Sc 3.00
Zn 0.2433 0.2433 0.2433  3 Pt 2.67, 3 Sc 2.95
Zn 0.7567 0.7567 0.7567  3 Pt 2.67, 3 Sc 2.95
Pt 0.5000 0.5000 0.5000  6 Zn 2.67

## Properties
Energy of formation from the pure elements: -23 kJ per mole of atoms
Volume: 68.8 Å³/f.u.
Magnetic moment: 0.00 μB/f.u.


Among the records above, which one has the lowest volume? ScZn2Pt


Repeat the third record exactly.
Here is a relaxed structure of Sc3ZnPt4 from the Alexandria database. Energies are from GGA-PBE.

Unit cell a=3.2716 b=3.2716 c=12.8076 alpha=90.00 beta=90.00 gamma=90.00
Last column: nearest neighbours and their distance in Å.
Element x y z (fractional)
Sc 0.0000 0.0000 0.0000  8 Pt 2.86
Sc 0.0000 0.0000 0.2646  8 Pt 2.79-2.87, 1 Zn 3.01
Sc 0.0000 0.0000 0.7354  8 Pt 2.79-2.87, 1 Zn 3.01
Zn 0.0000 0.0000 0.5000  8 Pt 2.73, 2 Sc 3.01
Pt 0.5000 0.5000 0.1316  8 Sc 2.86-2.87
Pt 0.5000 0.5000 0.3868  4 Zn 2.73, 4 Sc 2.79, 1 Pt 2.90
Pt 0.5000 0.5000 0.6132  4 Zn 2.73, 4 Sc 2.79, 1 Pt 2.90
Pt 0.5000 0.5000 0.8684  8 Sc 2.86-2.87

## Properties
Energy of formation from the pure elements: -106 kJ per mole of atoms
Volume: 137.1 Å³/f.u.
Magnetic moment: 0.00 μB/f.u.


Copy entry 4 word for word.
Here is a relaxed structure of ScZn2Pt from the Alexandria database. Energies are from GGA-PBE.

Unit cell a=8.9934 b=8.9934 c=8.9934 alpha=19.20 beta=19.20 gamma=19.20
Last column: nearest neighbours and their distance in Å.
Element x y z (fractional)
Sc 0.0000 0.0000 0.0000  6 Zn 2.95, 6 Sc 3.00
Zn 0.2433 0.2433 0.2433  3 Pt 2.67, 3 Sc 2.95
Zn 0.7567 0.7567 0.7567  3 Pt 2.67, 3 Sc 2.95
Pt 0.5000 0.5000 0.5000  6 Zn 2.67

## Properties
Energy of formation from the pure elements: -23 kJ per mole of atoms
Volume: 68.8 Å³/f.u.
Magnetic moment: 0.00 μB/f.u.


Among the records above, which one has the highest energy of formation from the pure elements? ScZn2Pt